# 1
TbSmSn: optimized geometry, PBE.

Values from the calculation:
polymorph energy (0 for the lowest one): 0.00 eV/f.u.

a b c (Å): 4.614 4.614 9.107
angles (deg): 104.67 104.67 90.00
Fractional positions:
Sn: 0.135 0.135 0.270
Sn: 0.865 0.865 0.730
Sm: 0.677 0.677 0.354
Sm: 0.323 0.323 0.646
Tb: 0.000 0.500 0.000
Tb: 0.500 0.000 0.000

=====

# 2
TbSmSn: optimized geometry, PBE.

Values from the calculation:
polymorph energy (0 for the lowest one): 2.18 eV/f.u.

a b c (Å): 3.354 3.354 9.089
angles (deg): 100.63 100.63 90.00
Fractional positions:
Tb: 0.760 0.760 0.519
Sn: 0.134 0.134 0.268
Sm: 0.956 0.956 0.913

=====

# 3
Tb2Sm8Sn: optimized geometry, PBE.

a b c (Å): 7.349 8.294 8.294
angles (deg): 48.04 104.45 104.45
Fractional positions:
Sm: 0.953 0.605 0.605
Sm: 0.766 0.175 0.175
Sm: 0.367 0.334 0.813
Sm: 0.234 0.825 0.825
Sm: 0.633 0.187 0.666
Sm: 0.633 0.666 0.187
Sm: 0.047 0.395 0.395
Sm: 0.367 0.813 0.334
Sn: 0.000 0.000 0.000
Tb: 0.278 0.238 0.238
Tb: 0.722 0.762 0.762

=====

# 4
TbSmSn: optimized geometry, PBE.

Values from the calculation:
polymorph energy (0 for the lowest one): 0.71 eV/f.u.

a b c (Å): 3.593 6.326 8.927
angles (deg): 105.41 90.00 106.50
Fractional positions:
Sn: 0.821 0.642 0.305
Sn: 0.179 0.358 0.695
Sm: 0.622 0.244 0.965
Sm: 0.378 0.756 0.035
Tb: 0.897 0.794 0.671
Tb: 0.103 0.206 0.329

=====

# 5
Tb5Sm3Sn: optimized geometry, PBE.

a b c (Å): 7.351 7.351 12.472
angles (deg): 95.91 95.91 72.25
Fractional positions:
Sm: 0.967 0.967 0.749
Sm: 0.338 0.338 0.460
Sm: 0.033 0.033 0.251
Sm: 0.000 0.000 0.000
Sm: 0.000 0.000 0.500
Sm: 0.662 0.662 0.540
Tb: 0.472 0.088 0.197
Tb: 0.088 0.472 0.197
Tb: 0.248 0.248 0.942
Tb: 0.324 0.676 0.000
Tb: 0.528 0.912 0.803
Tb: 0.461 0.461 0.744
Tb: 0.539 0.539 0.256
Tb: 0.676 0.324 0.000
Tb: 0.912 0.528 0.803
Tb: 0.752 0.752 0.058
Sn: 0.792 0.792 0.332
Sn: 0.208 0.208 0.668

=====

# 6
TbSm8Sn2: optimized geometry, PBE.

a b c (Å): 6.387 8.933 8.933
angles (deg): 44.89 94.45 94.45
Fractional positions:
Sm: 0.166 0.788 0.788
Sm: 0.834 0.212 0.212
Sm: 0.595 0.646 0.156
Sm: 0.896 0.584 0.584
Sm: 0.405 0.844 0.354
Sm: 0.595 0.156 0.646
Sm: 0.405 0.354 0.844
Sm: 0.104 0.416 0.416
Sn: 0.668 0.744 0.744
Sn: 0.332 0.256 0.256
Tb: 0.000 0.000 0.000

=====

E_form in eV per atom, matching the order above: -0.605, 0.122, 0.009, -0.368, 0.220, -0.175
Density in Mg/m³, matching the order above: 7.85, 7.20, 7.53, 7.60, 7.12, 7.41
Electronic total energy in eV/atom, matching the order above: -5.055, -4.329, -4.629, -4.819, -4.370, -4.756